No. 1
Entry from OQMD via LeMat-Bulk: a relaxed TbAlSiPt2 crystal (PBE-GGA).

Computed properties:
Space group: P4/nmm, No. 129
ρ (kg/m³): 11150
Uncorrected energy (eV/cell): -63.194

abc: 4.183 4.183 10.284
angles: 90.00 90.00 90.00
Fractional coordinates of all 10 atoms:
Si 0.000 0.500 0.130
Si 0.500 0.000 0.870
Pt 0.000 0.000 0.000
Pt 0.500 0.500 0.000
Pt 0.500 0.000 0.641
Pt 0.000 0.500 0.359
Al 0.000 0.000 0.500
Al 0.500 0.500 0.500
Tb 0.000 0.500 0.753
Tb 0.500 0.000 0.247

---

No. 2
Entry from OQMD via LeMat-Bulk: a relaxed NaCu3Te4Pb crystal (PBE-GGA).

Computed properties:
Space group: P-43m, No. 215
ρ (kg/m³): 5615
Uncorrected energy (eV/cell): -28.190

abc: 6.506 6.506 6.506
angles: 90.00 90.00 90.00
Fractional coordinates of all 9 atoms:
Cu 0.500 0.000 0.500
Cu 0.000 0.500 0.500
Cu 0.500 0.500 0.000
Te 0.750 0.750 0.250
Te 0.250 0.750 0.750
Te 0.750 0.250 0.750
Te 0.250 0.250 0.250
Pb 0.500 0.500 0.500
Na 0.000 0.000 0.000

---

No. 3
Entry from OQMD via LeMat-Bulk: a relaxed Zr4Fe3 crystal (PBE-GGA).

Computed properties:
Space group: P6_3/m, No. 176
Formation energy from the elements (kJ per mole of atoms): 12.7
ρ (kg/m³): 7032
Uncorrected energy (eV/cell): -116.384

abc: 7.903 7.903 4.649
angles: 90.00 90.00 60.00
Fractional coordinates of all 14 atoms:
Fe 0.429 0.825 0.000
Fe 0.635 0.666 0.500
Fe 0.682 0.460 0.000
Fe 0.270 0.778 0.500
Fe 0.523 0.413 0.500
Fe 0.318 0.572 0.000
Zr 0.388 0.032 0.500
Zr 0.810 0.952 0.500
Zr 0.565 0.206 0.000
Zr 0.143 0.286 0.000
Zr 0.801 0.707 0.000
Zr 0.152 0.531 0.500
Zr 0.889 0.294 0.500
Zr 0.063 0.944 0.000

---

No. 4
Entry from OQMD via LeMat-Bulk: a relaxed Ba4Pd crystal (PBE-GGA).

Computed properties:
Space group: C2/m, No. 12
Polymorph energy (0 for the lowest one) (eV per atom): 0.000
ρ (kg/m³): 4063
Uncorrected energy (eV/cell): -28.491

abc: 8.797 8.797 10.710
angles: 126.01 126.01 63.53
Fractional coordinates of all 10 atoms:
Ba 0.036 0.537 0.321
Ba 0.970 0.970 0.171
Ba 0.531 0.531 0.829
Ba 0.537 0.036 0.321
Ba 0.030 0.030 0.829
Ba 0.469 0.469 0.171
Ba 0.463 0.964 0.679
Ba 0.964 0.463 0.679
Pd 0.250 0.750 0.000
Pd 0.750 0.250 0.000

---

No. 5
Entry from OQMD via LeMat-Bulk: a relaxed YHo3As4 crystal (PBE-GGA).

Computed properties:
Space group: Cmmm, No. 65
ρ (kg/m³): 7521
Uncorrected energy (eV/cell): -51.081

abc: 7.102 7.102 4.102
angles: 90.00 90.00 109.47
Fractional coordinates of all 8 atoms:
As 0.749 0.749 0.500
As 0.251 0.749 0.000
As 0.251 0.251 0.500
As 0.749 0.251 0.000
Ho 0.500 0.500 0.000
Ho 0.500 0.000 0.500
Ho 0.000 0.500 0.500
Y 0.000 0.000 0.000

---

No. 6
Entry from OQMD via LeMat-Bulk: a relaxed CsCuSi crystal (PBE-GGA).

Computed properties:
Space group: F-43m, No. 216
Polymorph energy (0 for the lowest one) (eV per atom): 0.564
ρ (kg/m³): 3319
Uncorrected energy (eV/cell): -5.120

abc: 5.416 5.416 5.416
angles: 60.00 60.00 60.00
Fractional coordinates of all 3 atoms:
Cs 0.000 0.000 0.000
Si 0.750 0.750 0.750
Cu 0.250 0.250 0.250

---

Among the records above, which one has the lowest uncorrected energy?
Zr4Fe3